Entry 1:
Computed, not measured: an optimized crystal structure of Tb8TcHg2 at the PBE level of DFT.

Geometry as POSCAR:
```
Tb8TcHg2
1.0
4.837 0.000 -1.472
-1.253 7.248 -4.117
-0.009 0.011 8.652
Hg Tb Tc
2 8 1
direct
0.200 0.700 0.399
0.800 0.300 0.601
0.879 0.879 0.759
0.121 0.121 0.241
0.650 0.419 0.300
0.350 0.118 0.700
0.000 0.332 0.000
0.000 0.668 0.000
0.650 0.882 0.300
0.350 0.581 0.700
0.500 0.000 0.000
```

## Properties
- V (A^3/atom) = 27.6
- size of the total moment (μB/atom) = 0.00
- energy relative to the elements (eV per atom) = -0.085
- space-group type = No. 71
- relative energy among the computed polymorphs (eV/atom) = 0.111

Entry 2:
Computed, not measured: an optimized crystal structure of Tb6TcHg2 at the PBE level of DFT.

Geometry as POSCAR:
```
Tb6TcHg2
1.0
-3.799 -0.939 -1.123
2.745 -7.157 -3.298
-2.423 0.262 7.973
Tb Hg Tc
6 2 1
direct
0.000 0.000 0.241
0.000 0.758 0.759
0.500 0.398 0.398
0.500 0.602 0.000
0.500 0.000 0.602
0.000 0.242 0.000
0.000 0.667 0.334
0.000 0.333 0.666
0.500 0.001 0.000
```

## Properties
- V (A^3/atom) = 27.2
- size of the total moment (μB/atom) = 0.00
- energy relative to the elements (eV per atom) = -0.248
- space-group type = No. 38
- relative energy among the computed polymorphs (eV/atom) = 0.000

Q: Which value of V does entry 1 give?
A: 27.6 A^3/atom